Entry 1:
! Pm2ScGe4Au3 (PBE-GGA, relaxed); values from VASP
&SYSTEM
  ibrav = 0, nat = 10, ntyp = 4
/
ATOMIC_SPECIES
Pm 145.00 Pm.upf
Sc 44.96 Sc.upf
Ge 72.64 Ge.upf
Au 196.97 Au.upf
CELL_PARAMETERS angstrom
4.322 0.000 0.000
0.000 4.322 0.000
0.000 0.000 11.457
ATOMIC_POSITIONS crystal
Pm 0.000 0.500 0.245
Pm 0.500 0.000 0.755
Sc 0.000 0.000 0.500
Ge 0.000 0.000 0.000
Ge 0.000 0.500 0.644
Ge 0.500 0.000 0.356
Ge 0.500 0.500 0.000
Au 0.000 0.500 0.864
Au 0.500 0.000 0.136
Au 0.500 0.500 0.500
! Total magnetic moment, μB per atom: 0.00
! Calculated density, g cm⁻³: 9.4
! Space group: P-4m2
! Formation energy from the elements, eV per atom: -0.623
! DFT total energy, eV per atom: -5.037

Entry 2:
! Cd4Tc2Sn (PBE-GGA, relaxed); values from VASP
&SYSTEM
  ibrav = 0, nat = 7, ntyp = 3
/
ATOMIC_SPECIES
Cd 112.41 Cd.upf
Tc 98.00 Tc.upf
Sn 118.71 Sn.upf
CELL_PARAMETERS angstrom
-2.764 2.764 6.897
2.764 -2.764 6.897
2.764 2.764 -6.897
ATOMIC_POSITIONS crystal
Cd 0.000 0.500 0.500
Cd 0.215 0.215 0.000
Cd 0.500 0.000 0.500
Cd 0.785 0.785 0.000
Tc 0.424 0.424 0.000
Tc 0.576 0.576 0.000
Sn 0.000 0.000 0.000
! Total magnetic moment, μB per atom: 0.20
! Calculated density, g cm⁻³: 6.0
! Space group: I4/mmm
! Formation energy from the elements, eV per atom: 0.998
! DFT total energy, eV per atom: -3.058

Entry 3:
! Tb2Cl5 (PBE-GGA, relaxed); values from VASP
&SYSTEM
  ibrav = 0, nat = 14, ntyp = 2
/
ATOMIC_SPECIES
Tb 158.93 Tb.upf
Cl 35.45 Cl.upf
CELL_PARAMETERS angstrom
7.278 -3.078 0.000
7.278 3.078 0.000
-0.978 0.000 7.427
ATOMIC_POSITIONS crystal
Tb 0.110 0.686 0.916
Tb 0.314 0.890 0.584
Tb 0.686 0.110 0.416
Tb 0.890 0.314 0.084
Cl 0.089 0.911 0.250
Cl 0.146 0.290 0.837
Cl 0.290 0.146 0.337
Cl 0.294 0.536 0.580
Cl 0.464 0.706 0.920
Cl 0.536 0.294 0.080
Cl 0.706 0.464 0.420
Cl 0.710 0.854 0.663
Cl 0.854 0.710 0.163
Cl 0.911 0.089 0.750
! ΔE_f (raw), eV per atom: -2.020
! Total magnetic moment, μB per atom: 0.00
! Calculated density, g cm⁻³: 4.9
! Space group: C2/c
! DFT total energy, eV per atom: -4.662

Entry 4:
! DyTmCu (PBE-GGA, relaxed); values from VASP
&SYSTEM
  ibrav = 0, nat = 3, ntyp = 3
/
ATOMIC_SPECIES
Dy 162.50 Dy.upf
Tm 168.93 Tm.upf
Cu 63.55 Cu.upf
CELL_PARAMETERS angstrom
-1.725 1.725 6.107
1.725 -1.725 6.107
1.725 1.725 -6.107
ATOMIC_POSITIONS crystal
Dy 0.000 0.000 0.000
Tm 0.278 0.278 0.000
Cu 0.645 0.645 0.000
! Total magnetic moment, μB per atom: 0.00
! Calculated density, g cm⁻³: 9.0
! Offset from the most stable computed form, meV/atom: 37
! Space group: I4mm
! Formation energy from the elements, eV per atom: -0.139
! DFT total energy, eV per atom: -4.529

Look up the calculated density of the third one. 4.9 g cm⁻³